Record 1
A plane-wave DFT calculation with GGA-PBEsol was carried out for crystalline Y2TaW at its relaxed geometry.

Cell: 8.706 3.178 6.740 Å, 90.00 95.30 90.00°
Space group Cm (No. 8)
One atom of each set of equivalent atoms:
Y 0.000 0.000 0.000 x2
Y 0.227 0.000 0.656 x2
Ta 0.475 0.000 0.402 x2
W 0.244 0.500 0.247 x2

Computed properties:
- Theoretical density: 9707 kg/m3
- Calculated total energy: -75.87 eV per cell
- Total moment: 0.000 μB/cell


Record 2
A plane-wave DFT calculation with GGA-PBEsol was carried out for crystalline AgOs2O6 at its relaxed geometry.

Cell: 7.147 10.047 7.171 Å, 90.00 90.00 90.00°
Space group Ima2 (No. 46)
One atom of each set of equivalent atoms:
Ag 0.250 0.212 0.000 x4
Os 0.000 0.000 0.698 x4
Os 0.250 0.748 0.940 x4
O 0.047 0.626 0.399 x8
O 0.066 0.624 0.014 x8
O 0.250 0.075 0.706 x4
O 0.250 0.693 0.694 x4

Computed properties:
- Theoretical density: 7538 kg/m3
- E_form (uncorrected): -0.73 eV per atom
- Total moment: 0.000 μB/cell


Record 3
A plane-wave DFT calculation with GGA-PBEsol was carried out for crystalline Zr3CdC at its relaxed geometry.

Cell: 4.526 4.526 4.526 Å, 90.00 90.00 90.00°
Space group Pm-3m (No. 221)
One atom of each set of equivalent atoms:
Zr 0.000 0.000 0.500 x3
Cd 0.500 0.500 0.500 x1
C 0.000 0.000 0.000 x1

Computed properties:
- Theoretical density: 7132 kg/m3
- Calculated total energy: -40.57 eV per cell
- Total moment: 0.000 μB/cell


Record 4
A plane-wave DFT calculation with GGA-PBEsol was carried out for crystalline Li2CuAg at its relaxed geometry.

Cell: 2.736 3.604 5.580 Å, 90.00 90.00 90.00°
Space group Pmmm (No. 47)
One atom of each set of equivalent atoms:
Li 0.000 0.000 0.238 x2
Cu 0.500 0.500 0.000 x1
Ag 0.500 0.500 0.500 x1

Computed properties:
- Theoretical density: 5593 kg/m3
- Calculated total energy: -11.79 eV per cell
- Total moment: 0.000 μB/cell


Record 5
A plane-wave DFT calculation with GGA-PBEsol was carried out for crystalline RbCaCd2Sb at its relaxed geometry.

Cell: 5.757 5.757 6.202 Å, 90.00 90.00 90.00°
Space group P4/mmm (No. 123)
One atom of each set of equivalent atoms:
Rb 0.000 0.000 0.000 x1
Ca 0.500 0.500 0.500 x1
Cd 0.000 0.500 0.000 x2
Sb 0.000 0.000 0.500 x1

Computed properties:
- Theoretical density: 3814 kg/m3
- E_form (uncorrected): 0.63 eV per atom
- Total moment: 0.000 μB/cell


Record 6
A plane-wave DFT calculation with GGA-PBEsol was carried out for crystalline Li4SiAg at its relaxed geometry.

Cell: 6.906 6.906 6.906 Å, 90.00 90.00 90.00°
Space group F-43m (No. 216)
One atom of each set of equivalent atoms:
Li 0.124 0.124 0.376 x16
Si 0.250 0.250 0.750 x4
Ag 0.000 0.000 0.000 x4

Computed properties:
- Theoretical density: 3302 kg/m3
- E_form (uncorrected): 0.01 eV per atom
- Total moment: 4.003 μB/cell


Record 7
A plane-wave DFT calculation with GGA-PBEsol was carried out for crystalline VSb2 at its relaxed geometry.

Cell: 6.517 6.517 5.511 Å, 90.00 90.00 90.00°
Space group I4/mcm (No. 140)
One atom of each set of equivalent atoms:
V 0.000 0.000 0.250 x4
Sb 0.157 0.343 0.000 x8

Computed properties:
- Theoretical density: 8356 kg/m3
- E_form (uncorrected): -0.13 eV per atom
- Total moment: 0.012 μB/cell


Record 8
A plane-wave DFT calculation with GGA-PBEsol was carried out for crystalline NaBP2O at its relaxed geometry.

Cell: 3.962 3.962 4.257 Å, 90.00 90.00 90.00°
Space group P4/mmm (No. 123)
One atom of each set of equivalent atoms:
Na 0.000 0.000 0.000 x1
B 0.500 0.500 0.500 x1
P 0.000 0.500 0.500 x2
O 0.500 0.500 0.000 x1

Computed properties:
- Theoretical density: 2776 kg/m3
- E_form (uncorrected): 0.50 eV per atom
- Total moment: 0.000 μB/cell


Record 9
A plane-wave DFT calculation with GGA-PBEsol was carried out for crystalline Re2POs at its relaxed geometry.

Cell: 2.880 4.331 8.729 Å, 90.00 90.00 90.00°
Space group Immm (No. 71)
One atom of each set of equivalent atoms:
Re 0.000 0.000 0.216 x4
P 0.000 0.500 0.500 x2
Os 0.000 0.500 0.000 x2

Computed properties:
- Theoretical density: 18107 kg/m3
- Calculated total energy: -89.63 eV per cell
- Total moment: 0.000 μB/cell


Record 10
A plane-wave DFT calculation with GGA-PBEsol was carried out for crystalline BiRuW3 at its relaxed geometry.

Cell: 4.864 4.864 4.864 Å, 90.00 90.00 90.00°
Space group Pm-3m (No. 221)
One atom of each set of equivalent atoms:
Bi 0.000 0.000 0.000 x1
Ru 0.500 0.500 0.500 x1
W 0.000 0.000 0.500 x3

Computed properties:
- Theoretical density: 12433 kg/m3
- Calculated total energy: -37.53 eV per cell
- Total moment: 0.850 μB/cell


Record 11
A plane-wave DFT calculation with GGA-PBEsol was carried out for crystalline Ho2NiB4O10 at its relaxed geometry.

Cell: 4.494 7.178 9.306 Å, 90.00 91.34 90.00°
Space group P2_1/c (No. 14)
One atom of each set of equivalent atoms:
Ho 0.004 0.102 0.166 x4
Ni 0.000 0.000 0.500 x2
B 0.463 0.096 0.661 x4
B 0.472 0.734 0.585 x4
O 0.222 0.596 0.833 x4
O 0.251 0.605 0.538 x4
O 0.321 0.593 0.142 x4
O 0.325 0.170 0.795 x4
O 0.330 0.207 0.537 x4

Computed properties:
- Theoretical density: 6549 kg/m3
- E_form (uncorrected): -2.71 eV per atom
- Total moment: 3.932 μB/cell


Record 12
A plane-wave DFT calculation with GGA-PBEsol was carried out for crystalline BeRe2Ir at its relaxed geometry.

Cell: 2.895 4.223 8.467 Å, 90.00 90.00 90.00°
Space group Immm (No. 71)
One atom of each set of equivalent atoms:
Be 0.000 0.000 0.000 x2
Re 0.000 0.500 0.270 x4
Ir 0.000 0.000 0.500 x2

Computed properties:
- Theoretical density: 18405 kg/m3
- Calculated total energy: -81.47 eV per cell
- Total moment: 0.000 μB/cell


Repeat the eighth record exactly.
A plane-wave DFT calculation with GGA-PBEsol was carried out for crystalline NaBP2O at its relaxed geometry.

Cell: 3.962 3.962 4.257 Å, 90.00 90.00 90.00°
Space group P4/mmm (No. 123)
One atom of each set of equivalent atoms:
Na 0.000 0.000 0.000 x1
B 0.500 0.500 0.500 x1
P 0.000 0.500 0.500 x2
O 0.500 0.500 0.000 x1

Computed properties:
- Theoretical density: 2776 kg/m3
- E_form (uncorrected): 0.50 eV per atom
- Total moment: 0.000 μB/cell


Copy entry 11 word for word.
A plane-wave DFT calculation with GGA-PBEsol was carried out for crystalline Ho2NiB4O10 at its relaxed geometry.

Cell: 4.494 7.178 9.306 Å, 90.00 91.34 90.00°
Space group P2_1/c (No. 14)
One atom of each set of equivalent atoms:
Ho 0.004 0.102 0.166 x4
Ni 0.000 0.000 0.500 x2
B 0.463 0.096 0.661 x4
B 0.472 0.734 0.585 x4
O 0.222 0.596 0.833 x4
O 0.251 0.605 0.538 x4
O 0.321 0.593 0.142 x4
O 0.325 0.170 0.795 x4
O 0.330 0.207 0.537 x4

Computed properties:
- Theoretical density: 6549 kg/m3
- E_form (uncorrected): -2.71 eV per atom
- Total moment: 3.932 μB/cell


What did the twelfth record say?
A plane-wave DFT calculation with GGA-PBEsol was carried out for crystalline BeRe2Ir at its relaxed geometry.

Cell: 2.895 4.223 8.467 Å, 90.00 90.00 90.00°
Space group Immm (No. 71)
One atom of each set of equivalent atoms:
Be 0.000 0.000 0.000 x2
Re 0.000 0.500 0.270 x4
Ir 0.000 0.000 0.500 x2

Computed properties:
- Theoretical density: 18405 kg/m3
- Calculated total energy: -81.47 eV per cell
- Total moment: 0.000 μB/cell


- theoretical density of number 8 (NaBP2O)?
  2776 kg/m3